Entry one
Density functional theory data (PBE) for a relaxed structure of Re2TePb. Values from VASP.

Cell and atoms, written as Quantum ESPRESSO input:
```
&SYSTEM
  ibrav = 0, nat = 4, ntyp = 3
/
ATOMIC_SPECIES
Re 186.21 Re.upf
Te 127.60 Te.upf
Pb 207.20 Pb.upf
ATOMIC_POSITIONS crystal
Re 0.000 0.000 0.000
Re 0.500 0.500 0.044
Te 0.998 0.500 0.742
Pb 0.502 0.000 0.340
CELL_PARAMETERS angstrom
3.224 0.000 0.000
0.000 4.166 0.000
-0.020 0.000 7.290
```


Entry two
Density functional theory data (PBE) for a relaxed structure of Re2TePb. Values from VASP.

Cell and atoms, written as Quantum ESPRESSO input:
```
&SYSTEM
  ibrav = 0, nat = 16, ntyp = 3
/
ATOMIC_SPECIES
Re 186.21 Re.upf
Te 127.60 Te.upf
Pb 207.20 Pb.upf
ATOMIC_POSITIONS crystal
Re 0.000 0.000 0.000
Re 0.000 0.500 0.500
Re 0.250 0.250 0.250
Re 0.250 0.750 0.750
Re 0.500 0.000 0.500
Re 0.500 0.500 0.000
Re 0.750 0.250 0.750
Re 0.750 0.750 0.250
Te 0.250 0.250 0.750
Te 0.250 0.750 0.250
Te 0.750 0.250 0.250
Te 0.750 0.750 0.750
Pb 0.000 0.000 0.500
Pb 0.000 0.500 0.000
Pb 0.500 0.000 0.000
Pb 0.500 0.500 0.500
CELL_PARAMETERS angstrom
6.814 0.000 0.000
0.000 6.814 0.000
0.000 0.000 6.814
```


Which one sits at the top of the stability order? entry one does.


Entry one
Density functional theory data (PBE) for a relaxed structure of Th2RePb. Values from VASP.

Cell and atoms, written as Quantum ESPRESSO input:
```
&SYSTEM
  ibrav = 0, nat = 12, ntyp = 3
/
ATOMIC_SPECIES
Th 232.04 Th.upf
Re 186.21 Re.upf
Pb 207.20 Pb.upf
ATOMIC_POSITIONS crystal
Th 0.000 0.000 0.078
Th 0.000 0.000 0.922
Th 0.333 0.667 0.589
Th 0.333 0.667 0.744
Th 0.667 0.333 0.256
Th 0.667 0.333 0.411
Re 0.000 0.000 0.000
Re 0.333 0.667 0.667
Re 0.667 0.333 0.333
Pb 0.000 0.000 0.500
Pb 0.333 0.667 0.167
Pb 0.667 0.333 0.833
CELL_PARAMETERS angstrom
3.358 0.000 0.000
-1.679 2.908 0.000
0.000 0.000 33.561
```


Entry two
Density functional theory data (PBE) for a relaxed structure of Th2RePb. Values from VASP.

Cell and atoms, written as Quantum ESPRESSO input:
```
&SYSTEM
  ibrav = 0, nat = 4, ntyp = 3
/
ATOMIC_SPECIES
Th 232.04 Th.upf
Re 186.21 Re.upf
Pb 207.20 Pb.upf
ATOMIC_POSITIONS crystal
Th 0.000 0.000 0.203
Th 0.000 0.000 0.797
Re 0.500 0.500 0.000
Pb 0.500 0.500 0.500
CELL_PARAMETERS angstrom
3.490 0.000 0.000
0.000 3.490 0.000
0.000 0.000 8.837
```


Which one sits at the top of the stability order? entry two does.


Entry one
Density functional theory data (PBE) for a relaxed structure of TiRe2Pb2. Values from VASP.

Cell and atoms, written as Quantum ESPRESSO input:
```
&SYSTEM
  ibrav = 0, nat = 10, ntyp = 3
/
ATOMIC_SPECIES
Ti 47.87 Ti.upf
Re 186.21 Re.upf
Pb 207.20 Pb.upf
ATOMIC_POSITIONS crystal
Ti 0.000 0.000 0.000
Ti 0.500 0.500 0.000
Re 0.115 0.385 0.500
Re 0.385 0.885 0.500
Re 0.615 0.115 0.500
Re 0.885 0.615 0.500
Pb 0.177 0.677 0.000
Pb 0.323 0.177 0.000
Pb 0.677 0.823 0.000
Pb 0.823 0.323 0.000
CELL_PARAMETERS angstrom
7.889 0.000 0.000
0.000 7.889 0.000
0.000 0.000 3.205
```


Entry two
Density functional theory data (PBE) for a relaxed structure of TiRe2Pb2. Values from VASP.

Cell and atoms, written as Quantum ESPRESSO input:
```
&SYSTEM
  ibrav = 0, nat = 10, ntyp = 3
/
ATOMIC_SPECIES
Ti 47.87 Ti.upf
Re 186.21 Re.upf
Pb 207.20 Pb.upf
ATOMIC_POSITIONS crystal
Ti 0.000 0.000 0.000
Ti 0.500 0.500 0.500
Re 0.000 0.500 0.250
Re 0.000 0.500 0.750
Re 0.500 0.000 0.250
Re 0.500 0.000 0.750
Pb 0.000 0.000 0.393
Pb 0.000 0.000 0.607
Pb 0.500 0.500 0.107
Pb 0.500 0.500 0.893
CELL_PARAMETERS angstrom
3.580 0.000 0.000
0.000 3.580 0.000
0.000 0.000 17.269
```


Which one sits at the top of the stability order? entry two does.


Entry one
Density functional theory data (PBE) for a relaxed structure of Ti2RePb2. Values from VASP.

Cell and atoms, written as Quantum ESPRESSO input:
```
&SYSTEM
  ibrav = 0, nat = 10, ntyp = 3
/
ATOMIC_SPECIES
Ti 47.87 Ti.upf
Re 186.21 Re.upf
Pb 207.20 Pb.upf
ATOMIC_POSITIONS crystal
Ti 0.000 0.000 0.086
Ti 0.000 0.000 0.914
Ti 0.500 0.500 0.414
Ti 0.500 0.500 0.586
Re 0.000 0.000 0.500
Re 0.500 0.500 0.000
Pb 0.000 0.500 0.250
Pb 0.000 0.500 0.750
Pb 0.500 0.000 0.250
Pb 0.500 0.000 0.750
CELL_PARAMETERS angstrom
3.918 0.000 0.000
0.000 3.918 0.000
0.000 0.000 14.449
```


Entry two
Density functional theory data (PBE) for a relaxed structure of Ti2RePb2. Values from VASP.

Cell and atoms, written as Quantum ESPRESSO input:
```
&SYSTEM
  ibrav = 0, nat = 10, ntyp = 3
/
ATOMIC_SPECIES
Ti 47.87 Ti.upf
Re 186.21 Re.upf
Pb 207.20 Pb.upf
ATOMIC_POSITIONS crystal
Ti 0.157 0.343 0.000
Ti 0.343 0.843 0.000
Ti 0.657 0.157 0.000
Ti 0.843 0.657 0.000
Re 0.000 0.000 0.000
Re 0.500 0.500 0.000
Pb 0.173 0.673 0.500
Pb 0.327 0.173 0.500
Pb 0.673 0.827 0.500
Pb 0.827 0.327 0.500
CELL_PARAMETERS angstrom
6.632 0.000 0.000
0.000 6.632 0.000
0.000 0.000 4.821
```


Which one sits at the top of the stability order? entry two does.


Entry one
Density functional theory data (PBE) for a relaxed structure of TiRePb2. Values from VASP.

Cell and atoms, written as Quantum ESPRESSO input:
```
&SYSTEM
  ibrav = 0, nat = 16, ntyp = 3
/
ATOMIC_SPECIES
Ti 47.87 Ti.upf
Re 186.21 Re.upf
Pb 207.20 Pb.upf
ATOMIC_POSITIONS crystal
Ti 0.000 0.000 0.000
Ti 0.000 0.500 0.500
Ti 0.500 0.000 0.500
Ti 0.500 0.500 0.000
Re 0.000 0.000 0.500
Re 0.000 0.500 0.000
Re 0.500 0.000 0.000
Re 0.500 0.500 0.500
Pb 0.250 0.250 0.250
Pb 0.250 0.250 0.750
Pb 0.250 0.750 0.250
Pb 0.250 0.750 0.750
Pb 0.750 0.250 0.250
Pb 0.750 0.250 0.750
Pb 0.750 0.750 0.250
Pb 0.750 0.750 0.750
CELL_PARAMETERS angstrom
6.819 0.000 0.000
0.000 6.819 0.000
0.000 0.000 6.819
```


Entry two
Density functional theory data (PBE) for a relaxed structure of TiRePb2. Values from VASP.

Cell and atoms, written as Quantum ESPRESSO input:
```
&SYSTEM
  ibrav = 0, nat = 16, ntyp = 3
/
ATOMIC_SPECIES
Ti 47.87 Ti.upf
Re 186.21 Re.upf
Pb 207.20 Pb.upf
ATOMIC_POSITIONS crystal
Ti 0.000 0.000 0.000
Ti 0.000 0.500 0.250
Ti 0.500 0.000 0.750
Ti 0.500 0.500 0.500
Re 0.000 0.000 0.500
Re 0.000 0.500 0.750
Re 0.500 0.000 0.250
Re 0.500 0.500 0.000
Pb 0.238 0.250 0.625
Pb 0.250 0.738 0.875
Pb 0.250 0.762 0.375
Pb 0.262 0.250 0.125
Pb 0.738 0.750 0.125
Pb 0.750 0.238 0.375
Pb 0.750 0.262 0.875
Pb 0.762 0.750 0.625
CELL_PARAMETERS angstrom
7.780 0.000 0.000
0.000 7.780 0.000
0.000 0.000 5.967
```


Which one sits at the top of the stability order? entry one does.


Entry one
Density functional theory data (PBE) for a relaxed structure of Tl2RePb. Values from VASP.

Cell and atoms, written as Quantum ESPRESSO input:
```
&SYSTEM
  ibrav = 0, nat = 8, ntyp = 3
/
ATOMIC_SPECIES
Tl 204.38 Tl.upf
Re 186.21 Re.upf
Pb 207.20 Pb.upf
ATOMIC_POSITIONS crystal
Tl 0.000 0.000 0.218
Tl 0.000 0.000 0.782
Tl 0.500 0.500 0.218
Tl 0.500 0.500 0.782
Re 0.000 0.500 0.000
Re 0.500 0.000 0.000
Pb 0.000 0.500 0.500
Pb 0.500 0.000 0.500
CELL_PARAMETERS angstrom
3.341 0.000 0.000
0.000 5.357 0.000
0.000 0.000 10.814
```


Entry two
Density functional theory data (PBE) for a relaxed structure of Tl2RePb. Values from VASP.

Cell and atoms, written as Quantum ESPRESSO input:
```
&SYSTEM
  ibrav = 0, nat = 8, ntyp = 3
/
ATOMIC_SPECIES
Tl 204.38 Tl.upf
Re 186.21 Re.upf
Pb 207.20 Pb.upf
ATOMIC_POSITIONS crystal
Tl 0.250 0.250 0.000
Tl 0.250 0.750 0.000
Tl 0.750 0.250 0.000
Tl 0.750 0.750 0.000
Re 0.000 0.000 0.500
Re 0.500 0.500 0.500
Pb 0.000 0.500 0.500
Pb 0.500 0.000 0.500
CELL_PARAMETERS angstrom
6.490 0.000 0.000
0.000 9.224 0.000
0.000 0.000 3.236
```


Which one sits at the top of the stability order? entry one does.


Entry one
Density functional theory data (PBE) for a relaxed structure of ZrTlRePb2. Values from VASP.

Cell and atoms, written as Quantum ESPRESSO input:
```
&SYSTEM
  ibrav = 0, nat = 5, ntyp = 4
/
ATOMIC_SPECIES
Zr 91.22 Zr.upf
Tl 204.38 Tl.upf
Re 186.21 Re.upf
Pb 207.20 Pb.upf
ATOMIC_POSITIONS crystal
Zr 0.000 0.000 0.000
Tl 0.000 0.000 0.500
Re 0.500 0.500 0.500
Pb 0.000 0.500 0.000
Pb 0.500 0.000 0.000
CELL_PARAMETERS angstrom
5.623 0.000 0.000
0.000 5.623 0.000
0.000 0.000 5.611
```


Entry two
Density functional theory data (PBE) for a relaxed structure of ZrTlRePb2. Values from VASP.

Cell and atoms, written as Quantum ESPRESSO input:
```
&SYSTEM
  ibrav = 0, nat = 5, ntyp = 4
/
ATOMIC_SPECIES
Zr 91.22 Zr.upf
Tl 204.38 Tl.upf
Re 186.21 Re.upf
Pb 207.20 Pb.upf
ATOMIC_POSITIONS crystal
Zr 0.000 0.000 0.000
Tl 0.000 0.000 0.500
Re 0.500 0.500 0.000
Pb 0.000 0.500 0.500
Pb 0.500 0.000 0.500
CELL_PARAMETERS angstrom
5.565 0.000 0.000
0.000 5.565 0.000
0.000 0.000 5.563
```


Which one sits at the top of the stability order? entry one does.


Entry one
Density functional theory data (PBE) for a relaxed structure of VRePb2. Values from VASP.

Cell and atoms, written as Quantum ESPRESSO input:
```
&SYSTEM
  ibrav = 0, nat = 16, ntyp = 3
/
ATOMIC_SPECIES
V 50.94 V.upf
Re 186.21 Re.upf
Pb 207.20 Pb.upf
ATOMIC_POSITIONS crystal
V 0.000 0.000 0.000
V 0.000 0.500 0.500
V 0.500 0.000 0.500
V 0.500 0.500 0.000
Re 0.000 0.000 0.500
Re 0.000 0.500 0.000
Re 0.500 0.000 0.000
Re 0.500 0.500 0.500
Pb 0.250 0.250 0.250
Pb 0.250 0.250 0.750
Pb 0.250 0.750 0.250
Pb 0.250 0.750 0.750
Pb 0.750 0.250 0.250
Pb 0.750 0.250 0.750
Pb 0.750 0.750 0.250
Pb 0.750 0.750 0.750
CELL_PARAMETERS angstrom
6.795 0.000 0.000
0.000 6.795 0.000
0.000 0.000 6.795
```


Entry two
Density functional theory data (PBE) for a relaxed structure of VRePb2. Values from VASP.

Cell and atoms, written as Quantum ESPRESSO input:
```
&SYSTEM
  ibrav = 0, nat = 16, ntyp = 3
/
ATOMIC_SPECIES
V 50.94 V.upf
Re 186.21 Re.upf
Pb 207.20 Pb.upf
ATOMIC_POSITIONS crystal
V 0.000 0.000 0.000
V 0.000 0.500 0.250
V 0.500 0.000 0.750
V 0.500 0.500 0.500
Re 0.000 0.000 0.500
Re 0.000 0.500 0.750
Re 0.500 0.000 0.250
Re 0.500 0.500 0.000
Pb 0.240 0.250 0.625
Pb 0.250 0.740 0.875
Pb 0.250 0.760 0.375
Pb 0.260 0.250 0.125
Pb 0.740 0.750 0.125
Pb 0.750 0.240 0.375
Pb 0.750 0.260 0.875
Pb 0.760 0.750 0.625
CELL_PARAMETERS angstrom
7.781 0.000 0.000
0.000 7.781 0.000
0.000 0.000 5.885
```


Which one sits at the top of the stability order? entry one does.